Record 1
# Cr2CdFe

A relaxed Cr2CdFe crystal (GGA-PBE, the Alexandria database).

The space group is Pmm2 (No. 25) and the conventional cell measures 2.907, 2.922 and 6.737 Å, with angles of 90.00, 90.00 and 90.00 degrees. Symmetry generates all atoms from Cr at (0.000, 0.000, 0.000), Cr at (0.500, 0.500, 0.196), Cd at (0.000, 0.000, 0.505) and Fe at (0.500, 0.500, 0.791).

The value obtained for the formation energy is 296 meV per atom. The value obtained for the total magnetic moment is 0.797 μB per atom. Its theoretical density is 7.90 g/cm3.

Record 2
# NbCrCdFe2

A relaxed NbCrCdFe2 crystal (GGA-PBE, the Alexandria database).

The space group is P4/mmm (No. 123) and the conventional cell measures 4.490, 4.490 and 4.957 Å, with angles of 90.00, 90.00 and 90.00 degrees. Symmetry generates all atoms from Nb at (0.000, 0.000, 0.000), Cr at (0.500, 0.500, 0.000), Cd at (0.000, 0.000, 0.500) and Fe at (0.000, 0.500, 0.500).

The value obtained for the formation energy is 2298 meV per atom. The value obtained for the total magnetic moment is 1.168 μB per atom. Its theoretical density is 6.13 g/cm3.

Record 3
# CrCdFeRh2

A relaxed CrCdFeRh2 crystal (GGA-PBE, the Alexandria database).

The space group is P4/mmm (No. 123) and the conventional cell measures 4.570, 4.570 and 4.266 Å, with angles of 90.00, 90.00 and 90.00 degrees. Symmetry generates all atoms from Cr at (0.000, 0.000, 0.000), Cd at (0.500, 0.500, 0.000), Fe at (0.000, 0.000, 0.500) and Rh at (0.000, 0.500, 0.500).

The value obtained for the formation energy is 712 meV per atom. The value obtained for the total magnetic moment is 0.107 μB per atom. Its theoretical density is 7.94 g/cm3.

- What is the total magnetic moment in the second record?
  1.168 μB per atom